Entry 1:
An optimized crystal structure of BeRe2Ru. Source: Alexandria via LeMat-Bulk, functional PBE.

Cell and atoms, written as CIF:
```
data_BeRe2Ru
_cell_length_a 2.7310
_cell_length_b 2.7310
_cell_length_c 25.2380
_cell_angle_alpha 90.00
_cell_angle_beta 90.00
_cell_angle_gamma 120.00
_space_group_name_H-M_alt 'R -3 m'
_space_group_IT_number 166
_space_group_name_Hall '-R 3 2"'
loop_
_atom_site_label
_atom_site_type_symbol
_atom_site_fract_x
_atom_site_fract_y
_atom_site_fract_z
Be1 Be 0.0000 0.0000 0.0000
Re1 Re 0.0000 0.0000 0.2535
Ru1 Ru 0.0000 0.0000 0.5000
```

Calculated values
Energy above the lowest structure with this stoichiometry in meV/atom: 215
Energy in eV/atom: -9.330
Theoretical density in g cm⁻³: 14.7
DFT formation energy in eV per atom: 0.145
Spin magnetization in Bohr magnetons per cell: 0.0



Entry 2:
An optimized crystal structure of Pr3Ho. Source: Alexandria via LeMat-Bulk, functional PBE.

Cell and atoms, written as CIF:
```
data_Pr3Ho
_cell_length_a 3.7053
_cell_length_b 11.9070
_cell_length_c 6.3774
_cell_angle_alpha 90.00
_cell_angle_beta 90.00
_cell_angle_gamma 90.00
_space_group_name_H-M_alt 'I m m 2'
_space_group_IT_number 44
loop_
_space_group_symop_operation_xyz
'x,y,z'
'-x,-y,z'
'-x,y,z'
'x,-y,z'
'x+1/2,y+1/2,z+1/2'
'-x+1/2,-y+1/2,z+1/2'
'-x+1/2,y+1/2,z+1/2'
'x+1/2,-y+1/2,z+1/2'
loop_
_atom_site_label
_atom_site_type_symbol
_atom_site_fract_x
_atom_site_fract_y
_atom_site_fract_z
Pr1 Pr 0.0000 0.0000 0.0000
Pr2 Pr 0.0000 0.2475 0.6659
Ho1 Ho 0.0000 0.5000 0.9988
```

Calculated values
Energy above the lowest structure with this stoichiometry in meV/atom: 18
Energy in eV/atom: -4.697
Theoretical density in g cm⁻³: 6.9
DFT formation energy in eV per atom: 0.032
Spin magnetization in Bohr magnetons per cell: 0.0



Entry 3:
An optimized crystal structure of Y3AlSi. Source: Alexandria via LeMat-Bulk, functional PBE.

Cell and atoms, written as CIF:
```
data_Y3AlSi
_cell_length_a 5.3412
_cell_length_b 5.3412
_cell_length_c 5.3412
_cell_angle_alpha 90.00
_cell_angle_beta 90.00
_cell_angle_gamma 90.00
_space_group_name_H-M_alt 'P m -3 m'
_space_group_IT_number 221
_space_group_name_Hall '-P 4 2 3'
loop_
_atom_site_label
_atom_site_type_symbol
_atom_site_fract_x
_atom_site_fract_y
_atom_site_fract_z
Y1 Y 0.0000 0.0000 0.5000
Al1 Al 0.5000 0.5000 0.5000
Si1 Si 0.0000 0.0000 0.0000
```

Calculated values
Energy above the lowest structure with this stoichiometry in meV/atom: 261
Energy in eV/atom: -5.861
Theoretical density in g cm⁻³: 3.5
Formation energy without anion corrections in meV per atom: -149.6
Spin magnetization in Bohr magnetons per cell: 0.0



Entry 4:
An optimized crystal structure of RbCrTeH2. Source: Alexandria via LeMat-Bulk, functional PBE.

Cell and atoms, written as CIF:
```
data_RbCrTeH2
_cell_length_a 4.8627
_cell_length_b 4.8627
_cell_length_c 5.1521
_cell_angle_alpha 90.00
_cell_angle_beta 90.00
_cell_angle_gamma 90.00
_space_group_name_H-M_alt 'P 4/m m m'
_space_group_IT_number 123
_space_group_name_Hall '-P 4 2'
loop_
_atom_site_label
_atom_site_type_symbol
_atom_site_fract_x
_atom_site_fract_y
_atom_site_fract_z
Rb1 Rb 0.0000 0.0000 0.0000
Cr1 Cr 0.5000 0.5000 0.0000
Te1 Te 0.5000 0.5000 0.5000
H1 H 0.0000 0.5000 0.5000
```

Calculated values
Energy in eV/atom: -3.416
Theoretical density in g cm⁻³: 3.6
Spin magnetization in Bohr magnetons per cell: 4.7



Question: energy of number 1 (BeRe2Ru)?
Answer: -9.330 eV/atom



Question: Look up the theoretical density of the fourth one.
Answer: 3.6 g cm⁻³



Question: What is the energy in the first record?
Answer: -9.330 eV/atom



Copy entry 1 word for word.
An optimized crystal structure of BeRe2Ru. Source: Alexandria via LeMat-Bulk, functional PBE.

Cell and atoms, written as CIF:
```
data_BeRe2Ru
_cell_length_a 2.7310
_cell_length_b 2.7310
_cell_length_c 25.2380
_cell_angle_alpha 90.00
_cell_angle_beta 90.00
_cell_angle_gamma 120.00
_space_group_name_H-M_alt 'R -3 m'
_space_group_IT_number 166
_space_group_name_Hall '-R 3 2"'
loop_
_atom_site_label
_atom_site_type_symbol
_atom_site_fract_x
_atom_site_fract_y
_atom_site_fract_z
Be1 Be 0.0000 0.0000 0.0000
Re1 Re 0.0000 0.0000 0.2535
Ru1 Ru 0.0000 0.0000 0.5000
```

Calculated values
Energy above the lowest structure with this stoichiometry in meV/atom: 215
Energy in eV/atom: -9.330
Theoretical density in g cm⁻³: 14.7
DFT formation energy in eV per atom: 0.145
Spin magnetization in Bohr magnetons per cell: 0.0